Below is a relaxed KBe2NiF8 crystal, with properties calculated at the PBE+U level.

Values from the calculation:
The size of the total moment is 2.9 μB/f.u. Its total energy is -58.26 eV per cell. For the volume, the calculation gives 12.9 Å³/atom.

abc: 8.249 8.249 8.249
angles: 33.86 33.86 33.86
Fractional coordinates of all 12 atoms:
K1 0.000 0.000 0.000
Be1 0.239 0.239 0.239
Be2 0.761 0.761 0.761
Ni1 0.500 0.500 0.500
F1 0.111 0.750 0.494
F2 0.250 0.506 0.889
F3 0.303 0.303 0.303
F4 0.494 0.111 0.750
F5 0.506 0.889 0.250
F6 0.697 0.697 0.697
F7 0.750 0.494 0.111
F8 0.889 0.250 0.506